This record from Alexandria via LeMat-Bulk describes a relaxed LaBiBr3 crystal. The functional is PBE-GGA.

POSCAR file:
```
LaBiBr3
1.0
5.865 0.000 0.000
0.000 5.865 0.000
0.000 0.000 5.865
Br La Bi
3 1 1
direct
0.000 0.500 0.000
0.500 0.000 0.000
0.000 0.000 0.500
0.500 0.500 0.500
0.000 0.000 0.000
```

E_form (uncorrected)   -0.256 eV/atom
Distance to the lowest polymorph of the same formula   0.764 eV/atom
Spin magnetization   1.47 μB/f.u.